(1)
LaTbNdDy | PBE | optimized geometry

Results
* offset from the most stable computed form: 0.000 eV/atom
* D(E_F): 1.659 states/eV/atom
* VASP energy: -18.82 eV/cell
* energy of formation from the pure elements: 0.028 eV/atom
* M_tot: 0.0 μB per cell
* space-group type: No. 44

a b c (Å): 5.141 5.155 6.300
angles (deg): 114.15 114.08 90.00
Sites, in units of the cell vectors:
La  0.445  0.445  0.891
Nd  0.196  0.696  0.392
Tb  0.946  0.946  0.891
Dy  0.695  0.195  0.391

(2)
Zn2Hg4Pb3 | PBE | optimized geometry

Results
* D(E_F): 0.335 states/eV/atom
* VASP energy: -14.31 eV/cell
* energy of formation from the pure elements: 0.063 eV/atom
* M_tot: 0.0 μB per cell
* space-group type: No. 2

a b c (Å): 3.648 7.063 9.333
angles (deg): 83.57 89.42 75.17
Sites, in units of the cell vectors:
Pb  0.400  0.209  0.263
Hg  0.691  0.617  0.103
Pb  0.000  0.000  0.000
Hg  0.909  0.163  0.611
Zn  0.252  0.488  0.604
Zn  0.748  0.512  0.396
Hg  0.309  0.383  0.897
Hg  0.091  0.837  0.389
Pb  0.600  0.791  0.737

(3)
Hf2AgCl | PBE | optimized geometry

Results
* offset from the most stable computed form: 0.344 eV/atom
* D(E_F): 0.818 states/eV/atom
* formation energy from raw total energies: 35.2 kJ/mol of atoms
* VASP energy: -46.29 eV/cell
* M_tot: 0.0 μB per cell
* space-group type: No. 122

a b c (Å): 4.384 4.384 9.820
angles (deg): 77.10 77.10 90.00
Sites, in units of the cell vectors:
Cl  0.250  0.750  0.500
Hf  0.875  0.866  0.750
Cl  0.500  0.500  0.000
Hf  0.134  0.625  0.250
Ag  0.000  0.000  0.000
Ag  0.750  0.250  0.500
Hf  0.616  0.125  0.250
Hf  0.375  0.384  0.750

(4)
Y2Er3Tm6Zr | PBE | optimized geometry

Results
* D(E_F): 1.323 states/eV/atom
* VASP energy: -61.44 eV/cell
* energy of formation from the pure elements: 0.046 eV/atom
* M_tot: 0.0 μB per cell
* space-group type: No. 12

a b c (Å): 6.021 6.021 11.512
angles (deg): 94.99 94.99 119.91
Sites, in units of the cell vectors:
Tm  0.918  0.592  0.753
Er  0.167  0.833  0.500
Tm  0.592  0.918  0.753
Tm  0.082  0.408  0.247
Y  0.667  0.333  0.000
Zr  0.000  0.000  0.000
Tm  0.408  0.082  0.247
Tm  0.756  0.756  0.246
Er  0.500  0.500  0.500
Er  0.833  0.167  0.500
Y  0.333  0.667  0.000
Tm  0.244  0.244  0.754

Which of these has the lowest D(E_F)?
Zn2Hg4Pb3

M_tot of number 4 (Y2Er3Tm6Zr)?
0.0 μB per cell

Which of these has the lowest VASP energy?
Y2Er3Tm6Zr

Repeat the second record exactly.
Zn2Hg4Pb3 | PBE | optimized geometry

Results
* D(E_F): 0.335 states/eV/atom
* VASP energy: -14.31 eV/cell
* energy of formation from the pure elements: 0.063 eV/atom
* M_tot: 0.0 μB per cell
* space-group type: No. 2

a b c (Å): 3.648 7.063 9.333
angles (deg): 83.57 89.42 75.17
Sites, in units of the cell vectors:
Pb  0.400  0.209  0.263
Hg  0.691  0.617  0.103
Pb  0.000  0.000  0.000
Hg  0.909  0.163  0.611
Zn  0.252  0.488  0.604
Zn  0.748  0.512  0.396
Hg  0.309  0.383  0.897
Hg  0.091  0.837  0.389
Pb  0.600  0.791  0.737